Entry 1:
A geometry-optimized Ce3Ni3Sb4 structure. Source: Alexandria via LeMat-Bulk, functional GGA-PBE.

Computed properties:
DFT total energy = -120.95 eV per cell

abc: 8.248 8.248 8.248
angles: 109.47 109.47 109.47
Atoms (fractional coordinates):
Ce 0.125 0.875 0.250
Ce 0.250 0.125 0.875
Ce 0.375 0.625 0.750
Ce 0.625 0.750 0.375
Ce 0.750 0.375 0.625
Ce 0.875 0.250 0.125
Ni 0.125 0.750 0.875
Ni 0.250 0.625 0.375
Ni 0.375 0.250 0.625
Ni 0.625 0.375 0.250
Ni 0.750 0.875 0.125
Ni 0.875 0.125 0.750
Sb 0.000 0.160 0.500
Sb 0.000 0.660 0.500
Sb 0.160 0.500 0.000
Sb 0.340 0.340 0.340
Sb 0.500 0.000 0.160
Sb 0.500 0.000 0.660
Sb 0.660 0.500 0.000
Sb 0.840 0.840 0.840

---

Entry 2:
A geometry-optimized KCeTl2Br6 structure. Source: Alexandria via LeMat-Bulk, functional GGA-PBE.

Computed properties:
DFT total energy = -72.36 eV per cell

abc: 7.904 8.672 13.598
angles: 90.00 122.43 90.00
Atoms (fractional coordinates):
K 0.000 0.000 0.000
K 0.000 0.500 0.500
Ce 0.500 0.000 0.500
Ce 0.500 0.500 0.000
Tl 0.203 0.074 0.727
Tl 0.203 0.426 0.227
Tl 0.797 0.574 0.773
Tl 0.797 0.926 0.273
Br 0.148 0.172 0.456
Br 0.148 0.328 0.956
Br 0.249 0.722 0.416
Br 0.249 0.778 0.916
Br 0.401 0.067 0.264
Br 0.401 0.433 0.764
Br 0.599 0.567 0.236
Br 0.599 0.933 0.736
Br 0.751 0.222 0.084
Br 0.751 0.278 0.584
Br 0.852 0.672 0.044
Br 0.852 0.828 0.544

---

Entry 3:
A geometry-optimized CoHgOs structure. Source: Alexandria via LeMat-Bulk, functional GGA-PBE.

Computed properties:
DFT formation energy = 0.9355 eV per atom
excess energy over the best structure of this formula in the dataset = 0.439 eV/atom

abc: 4.139 4.139 4.139
angles: 60.00 60.00 60.00
Atoms (fractional coordinates):
Co 0.000 0.000 0.000
Hg 0.750 0.750 0.750
Os 0.250 0.250 0.250

---

Entry 4:
A geometry-optimized HfI3Br structure. Source: Alexandria via LeMat-Bulk, functional GGA-PBE.

Computed properties:
excess energy over the best structure of this formula in the dataset = 0.015 eV/atom

abc: 8.098 7.879 6.733
angles: 90.00 90.00 90.00
Atoms (fractional coordinates):
Hf 0.000 0.005 0.000
Hf 0.500 0.995 0.500
I 0.000 0.295 0.223
I 0.246 0.836 0.254
I 0.254 0.164 0.754
I 0.500 0.705 0.723
I 0.746 0.164 0.754
I 0.754 0.836 0.254
Br 0.000 0.740 0.794
Br 0.500 0.260 0.294

---

Entry 5:
A geometry-optimized Pm3HgP structure. Source: Alexandria via LeMat-Bulk, functional GGA-PBE.

Computed properties:
DFT formation energy = -0.5465 eV per atom
excess energy over the best structure of this formula in the dataset = 0.247 eV/atom

abc: 5.423 5.423 5.423
angles: 90.00 90.00 90.00
Atoms (fractional coordinates):
Pm 0.000 0.000 0.500
Pm 0.000 0.500 0.000
Pm 0.500 0.000 0.000
Hg 0.500 0.500 0.500
P 0.000 0.000 0.000

---

Entry 6:
A geometry-optimized RbSc structure. Source: Alexandria via LeMat-Bulk, functional GGA-PBE.

Computed properties:
DFT formation energy = 0.5912 eV per atom

abc: 10.115 10.115 10.115
angles: 159.78 61.32 122.79
Atoms (fractional coordinates):
Rb 0.000 0.000 0.000
Rb 0.472 0.187 0.285
Rb 0.903 0.187 0.715
Sc 0.277 0.860 0.416
Sc 0.444 0.860 0.584
Sc 0.573 0.573 0.000